PBE NaSnHPd2, relaxed; space-group type = No. 123; final energy = -4.04 eV/atom; crystal system = tetragonal; V = 14.7 A^3/atom
1.0
-3.6950 0.3113 -1.8898
-1.9150 -0.5420 3.6551
0.0277 4.1815 0.6346
Pd Na Sn H
2 1 1 1
direct
0.5000 0.0000 0.0000
0.0000 0.5000 0.0000
0.0000 0.0000 0.5000
0.5000 0.5000 0.5000
0.0000 0.0000 0.0000